No. 1
{"formula": "CsZn2InCl6", "functional": "PBE-GGA", "state": "relaxed", "lattice_angstrom": [[7.003, -6.915, 0.000], [7.003, 6.915, 0.000], [-1.383, 0.000, 7.029]], "species": ["Cs", "Cs", "Zn", "Zn", "Zn", "Zn", "In", "In", "Cl", "Cl", "Cl", "Cl", "Cl", "Cl", "Cl", "Cl", "Cl", "Cl", "Cl", "Cl"], "frac_coords": [[0.185, 0.815, 0.750], [0.815, 0.185, 0.250], [0.132, 0.303, 0.767], [0.303, 0.132, 0.267], [0.697, 0.868, 0.733], [0.868, 0.697, 0.233], [0.395, 0.605, 0.250], [0.605, 0.395, 0.750], [0.080, 0.617, 0.304], [0.126, 0.169, 0.016], [0.169, 0.126, 0.516], [0.300, 0.462, 0.823], [0.383, 0.920, 0.196], [0.462, 0.300, 0.323], [0.538, 0.700, 0.677], [0.617, 0.080, 0.804], [0.700, 0.538, 0.177], [0.831, 0.874, 0.484], [0.874, 0.831, 0.984], [0.920, 0.383, 0.696]], "space_group": "C2/c (15)", "crystal_system": "monoclinic", "dos_ef_per_ev_fu": 0.000, "magmom_total_mub_per_cell": 0.000, "formation_energy_uncorrected_kcal_per_mol_atoms": -29.4, "dft_energy_ev_per_cell": -59.961}



No. 2
{"formula": "TbCrCl5", "functional": "PBE-GGA", "state": "relaxed", "lattice_angstrom": [[5.253, -4.582, 0.000], [5.253, 4.582, 0.000], [-2.975, 0.000, 7.971]], "species": ["Tb", "Tb", "Cr", "Cr", "Cl", "Cl", "Cl", "Cl", "Cl", "Cl", "Cl", "Cl", "Cl", "Cl"], "frac_coords": [[0.058, 0.942, 0.750], [0.942, 0.058, 0.250], [0.500, 0.500, 0.000], [0.500, 0.500, 0.500], [0.143, 0.803, 0.039], [0.197, 0.857, 0.461], [0.207, 0.332, 0.364], [0.332, 0.207, 0.864], [0.380, 0.620, 0.750], [0.620, 0.380, 0.250], [0.668, 0.793, 0.136], [0.793, 0.668, 0.636], [0.803, 0.143, 0.539], [0.857, 0.197, 0.961]], "space_group": "C2/c (15)", "crystal_system": "monoclinic", "magmom_total_mub_per_cell": 8.000, "formation_energy_uncorrected_kcal_per_mol_atoms": -37.6, "dft_energy_ev_per_cell": -69.820}



No. 3
{"formula": "SmErCd14", "functional": "PBE-GGA", "state": "relaxed", "lattice_angstrom": [[6.616, 0.000, 0.000], [0.000, 6.616, 0.000], [0.000, 0.000, 8.496]], "species": ["Sm", "Er", "Cd", "Cd", "Cd", "Cd", "Cd", "Cd", "Cd", "Cd", "Cd", "Cd", "Cd", "Cd", "Cd", "Cd"], "frac_coords": [[0.000, 0.000, 0.000], [0.500, 0.500, 0.000], [0.000, 0.000, 0.500], [0.000, 0.500, 0.000], [0.000, 0.500, 0.500], [0.252, 0.252, 0.259], [0.252, 0.252, 0.741], [0.252, 0.748, 0.259], [0.252, 0.748, 0.741], [0.500, 0.000, 0.000], [0.500, 0.000, 0.500], [0.500, 0.500, 0.500], [0.748, 0.252, 0.259], [0.748, 0.252, 0.741], [0.748, 0.748, 0.259], [0.748, 0.748, 0.741]], "space_group": "P4/mmm (123)", "crystal_system": "tetragonal", "dos_ef_per_ev_fu": 5.167, "magmom_total_mub_per_cell": 0.000, "delta_e_f_ev_per_atom": -0.1377, "dft_energy_ev_per_cell": -24.297}



No. 4
{"formula": "Mg8In2Rh", "functional": "PBE-GGA", "state": "relaxed", "lattice_angstrom": [[7.953, -2.377, 0.000], [7.953, 2.377, 0.000], [-2.984, 0.000, 6.264]], "species": ["Mg", "Mg", "Mg", "Mg", "Mg", "Mg", "Mg", "Mg", "In", "In", "Rh"], "frac_coords": [[0.003, 0.003, 0.271], [0.176, 0.176, 0.685], [0.363, 0.363, 0.619], [0.372, 0.372, 0.104], [0.628, 0.628, 0.896], [0.637, 0.637, 0.381], [0.824, 0.824, 0.315], [0.997, 0.997, 0.729], [0.183, 0.183, 0.180], [0.817, 0.817, 0.820], [0.500, 0.500, 0.500]], "space_group": "C2/m (12)", "crystal_system": "monoclinic", "dos_ef_per_ev_fu": 4.253, "magmom_total_mub_per_cell": 0.000, "delta_e_f_ev_per_atom": -0.1658, "dft_energy_ev_per_cell": -27.409}